This record from Alexandria describes Li2VO3 at its PBEsol-relaxed geometry. The functional is SCAN.

```
Li2VO3
1.0
6.296 -1.384 0.000
6.296 1.384 0.000
-1.448 0.000 5.699
Li V O
4 2 6
Direct
0.000 0.000 0.000
0.000 0.000 0.500
0.335 0.335 0.659
0.665 0.665 0.341
0.346 0.346 0.176
0.654 0.654 0.824
0.169 0.169 0.603
0.174 0.174 0.071
0.488 0.488 0.241
0.512 0.512 0.759
0.826 0.826 0.929
0.831 0.831 0.397
```

Fermi-level density of states	0.09	states/eV/atom
E_tot	-56.13	eV/f.u.